Record 1
# CeIn2Cl3F3 GGA-PBE optimized geometry
data_CeIn2Cl3F3
_chemical_formula_sum 'Ce1 In2 Cl3 F3'
_cell_length_a 7.737
_cell_length_b 7.737
_cell_length_c 3.684
_cell_angle_alpha 90.00
_cell_angle_beta 90.00
_cell_angle_gamma 120.00
_space_group_name_H-M_alt 'P 1'
_space_group_IT_number 1
loop_
_space_group_symop_operation_xyz
'x,y,z'
loop_
_atom_site_label
_atom_site_fract_x
_atom_site_fract_y
_atom_site_fract_z
Ce1 0.000 0.000 0.000
In1 0.333 0.667 0.500
In2 0.667 0.333 0.500
Cl1 0.000 0.395 0.000
Cl2 0.395 0.000 0.000
Cl3 0.605 0.605 0.000
F1 0.000 0.804 0.500
F2 0.196 0.196 0.500
F3 0.804 0.000 0.500
# ΔE_f (raw) in eV/atom: -2.17
# Space-group type: P-62m (189)
# Volume in Å³ per cell: 191
# E in eV/atom: -4.673

---

Record 2
# K2CeCl3F3 GGA-PBE optimized geometry
data_K2CeCl3F3
_chemical_formula_sum 'K2 Ce1 Cl3 F3'
_cell_length_a 7.753
_cell_length_b 7.753
_cell_length_c 3.741
_cell_angle_alpha 90.00
_cell_angle_beta 90.00
_cell_angle_gamma 120.00
_space_group_name_H-M_alt 'P 1'
_space_group_IT_number 1
loop_
_space_group_symop_operation_xyz
'x,y,z'
loop_
_atom_site_label
_atom_site_fract_x
_atom_site_fract_y
_atom_site_fract_z
K1 0.333 0.667 0.000
K2 0.667 0.333 0.000
Ce1 0.000 0.000 0.500
Cl1 0.000 0.636 0.500
Cl2 0.364 0.364 0.500
Cl3 0.636 0.000 0.500
F1 0.000 0.191 0.000
F2 0.191 0.000 0.000
F3 0.809 0.809 0.000
# ΔE_f (raw) in eV/atom: -2.65
# Space-group type: P-62m (189)
# Volume in Å³ per cell: 195
# E in eV/atom: -4.792

---

Record 3
# LiCeClF4 GGA-PBE optimized geometry
data_LiCeClF4
_chemical_formula_sum 'Li2 Ce2 Cl2 F8'
_cell_length_a 6.327
_cell_length_b 6.327
_cell_length_c 7.000
_cell_angle_alpha 104.48
_cell_angle_beta 104.48
_cell_angle_gamma 69.15
_space_group_name_H-M_alt 'P 1'
_space_group_IT_number 1
loop_
_space_group_symop_operation_xyz
'x,y,z'
loop_
_atom_site_label
_atom_site_fract_x
_atom_site_fract_y
_atom_site_fract_z
Li1 0.135 0.135 0.283
Li2 0.865 0.865 0.717
Ce1 0.268 0.268 0.880
Ce2 0.732 0.732 0.120
Cl1 0.489 0.489 0.225
Cl2 0.511 0.511 0.775
F1 0.017 0.395 0.143
F2 0.054 0.054 0.802
F3 0.214 0.214 0.561
F4 0.395 0.017 0.143
F5 0.605 0.983 0.857
F6 0.786 0.786 0.439
F7 0.946 0.946 0.198
F8 0.983 0.605 0.857
# ΔE_f (raw) in eV/atom: -3.21
# Space-group type: C2/m (12)
# Volume in Å³ per cell: 250
# E in eV/atom: -5.662

---

Record 4
# Rb2CeCl3F3 GGA-PBE optimized geometry
data_Rb2CeCl3F3
_chemical_formula_sum 'Rb2 Ce1 Cl3 F3'
_cell_length_a 8.089
_cell_length_b 8.089
_cell_length_c 3.757
_cell_angle_alpha 90.00
_cell_angle_beta 90.00
_cell_angle_gamma 120.00
_space_group_name_H-M_alt 'P 1'
_space_group_IT_number 1
loop_
_space_group_symop_operation_xyz
'x,y,z'
loop_
_atom_site_label
_atom_site_fract_x
_atom_site_fract_y
_atom_site_fract_z
Rb1 0.333 0.667 0.000
Rb2 0.667 0.333 0.000
Ce1 0.000 0.000 0.500
Cl1 0.000 0.349 0.500
Cl2 0.349 0.000 0.500
Cl3 0.651 0.651 0.500
F1 0.000 0.817 0.000
F2 0.183 0.183 0.000
F3 0.817 0.000 0.000
# ΔE_f (raw) in eV/atom: -2.63
# Space-group type: P-62m (189)
# Volume in Å³ per cell: 213
# E in eV/atom: -4.744

---

Copy entry 2 word for word.
# K2CeCl3F3 GGA-PBE optimized geometry
data_K2CeCl3F3
_chemical_formula_sum 'K2 Ce1 Cl3 F3'
_cell_length_a 7.753
_cell_length_b 7.753
_cell_length_c 3.741
_cell_angle_alpha 90.00
_cell_angle_beta 90.00
_cell_angle_gamma 120.00
_space_group_name_H-M_alt 'P 1'
_space_group_IT_number 1
loop_
_space_group_symop_operation_xyz
'x,y,z'
loop_
_atom_site_label
_atom_site_fract_x
_atom_site_fract_y
_atom_site_fract_z
K1 0.333 0.667 0.000
K2 0.667 0.333 0.000
Ce1 0.000 0.000 0.500
Cl1 0.000 0.636 0.500
Cl2 0.364 0.364 0.500
Cl3 0.636 0.000 0.500
F1 0.000 0.191 0.000
F2 0.191 0.000 0.000
F3 0.809 0.809 0.000
# ΔE_f (raw) in eV/atom: -2.65
# Space-group type: P-62m (189)
# Volume in Å³ per cell: 195
# E in eV/atom: -4.792

---

What did the third record say?
# LiCeClF4 GGA-PBE optimized geometry
data_LiCeClF4
_chemical_formula_sum 'Li2 Ce2 Cl2 F8'
_cell_length_a 6.327
_cell_length_b 6.327
_cell_length_c 7.000
_cell_angle_alpha 104.48
_cell_angle_beta 104.48
_cell_angle_gamma 69.15
_space_group_name_H-M_alt 'P 1'
_space_group_IT_number 1
loop_
_space_group_symop_operation_xyz
'x,y,z'
loop_
_atom_site_label
_atom_site_fract_x
_atom_site_fract_y
_atom_site_fract_z
Li1 0.135 0.135 0.283
Li2 0.865 0.865 0.717
Ce1 0.268 0.268 0.880
Ce2 0.732 0.732 0.120
Cl1 0.489 0.489 0.225
Cl2 0.511 0.511 0.775
F1 0.017 0.395 0.143
F2 0.054 0.054 0.802
F3 0.214 0.214 0.561
F4 0.395 0.017 0.143
F5 0.605 0.983 0.857
F6 0.786 0.786 0.439
F7 0.946 0.946 0.198
F8 0.983 0.605 0.857
# ΔE_f (raw) in eV/atom: -3.21
# Space-group type: C2/m (12)
# Volume in Å³ per cell: 250
# E in eV/atom: -5.662

---

- Which value of volume does entry 3 give?
  250 Å³ per cell